Material: Li2IrPbF8
Method: DFT, PBE
State: relaxed

Volume: 170.33 Å³ per cell
E_form (uncorrected): -208.9 kJ/mol of atoms
Fermi-level density of states: 6.57 states/eV per cell
Raw total energy: -4.78 eV/atom
M_tot: 0.08 μB/atom

Cell lengths 4.7725, 5.0189, 7.2475 Å; angles 83.08, 84.36, 82.71 degrees
Site moments in Bohr magnetons follow the coordinates.
Sites, in units of the cell vectors:
F1 0.2832 0.2490 0.9577  0.09
F2 0.6486 0.6941 0.5032  0.00
F3 0.3514 0.3059 0.4968  0.00
F4 0.8092 0.2233 0.7909  0.02
F5 0.2015 0.7839 0.8043  0.03
F6 0.7985 0.2161 0.1957  0.03
F7 0.1908 0.7767 0.2091  0.02
F8 0.7168 0.7510 0.0423  0.09
Li1 0.4615 0.4598 0.7119  0.00
Li2 0.5385 0.5402 0.2881  0.00
Pb1 0.0000 0.0000 0.5000  0.00
Ir1 0.0000 0.0000 0.0000  0.70